The following is a DFT calculation (PBE) of a relaxed CdTcW2 crystal.

Cell: 3.382 3.382 6.004 Å, 90.00 90.00 90.00°
Space group P4/mmm (No. 123)
One atom of each set of equivalent atoms:
Cd 0.000 0.000 0.000 (multiplicity 1)
Tc 0.000 0.000 0.500 (multiplicity 1)
W 0.500 0.500 0.291 (multiplicity 2)

Calculated values
Total magnetic moment   0.000 μB/atom
Crystal system   tetragonal
Total DFT energy (no corrections)   -8.74 eV/atom
DOS(E_F)   2.45 states/eV/cell



The following is a DFT calculation (PBE) of a relaxed CdTcW2 crystal.

Cell: 4.050 4.050 8.026 Å, 90.00 90.00 90.00°
Space group I-4m2 (No. 119)
One atom of each set of equivalent atoms:
Cd 0.000 0.000 0.000 (multiplicity 2)
Tc 0.000 0.500 0.750 (multiplicity 2)
W 0.000 0.000 0.500 (multiplicity 2)
W 0.000 0.500 0.250 (multiplicity 2)

Calculated values
Total magnetic moment   0.000 μB/atom
Crystal system   tetragonal
Total DFT energy (no corrections)   -8.72 eV/atom
DOS(E_F)   5.87 states/eV/cell



The following is a DFT calculation (PBE) of a relaxed Zr2CdTcW crystal.

Cell: 4.968 4.968 5.213 Å, 90.00 90.00 90.00°
Space group P4/mmm (No. 123)
One atom of each set of equivalent atoms:
Zr 0.000 0.500 0.000 (multiplicity 2)
Cd 0.000 0.000 0.500 (multiplicity 1)
Tc 0.500 0.500 0.500 (multiplicity 1)
W 0.000 0.000 0.000 (multiplicity 1)

Calculated values
Total magnetic moment   0.553 μB/atom
Crystal system   tetragonal
Total DFT energy (no corrections)   -6.84 eV/atom
DOS(E_F)   4.88 states/eV/cell



The following is a DFT calculation (PBE) of a relaxed YCdTc2 crystal.

Cell: 3.582 3.582 6.235 Å, 90.00 90.00 90.00°
Space group P4/mmm (No. 123)
One atom of each set of equivalent atoms:
Y 0.000 0.000 0.000 (multiplicity 1)
Cd 0.000 0.000 0.500 (multiplicity 1)
Tc 0.500 0.500 0.309 (multiplicity 2)

Calculated values
Total magnetic moment   0.017 μB/atom
Crystal system   tetragonal
Total DFT energy (no corrections)   -6.65 eV/atom
DOS(E_F)   4.28 states/eV/cell



The following is a DFT calculation (PBE) of a relaxed YCd2Tc crystal.

Cell: 4.333 4.350 8.883 Å, 90.00 90.00 90.00°
Space group Imm2 (No. 44)
One atom of each set of equivalent atoms:
Y 0.000 0.000 0.000 (multiplicity 2)
Cd 0.000 0.000 0.500 (multiplicity 2)
Cd 0.000 0.500 0.750 (multiplicity 2)
Tc 0.000 0.500 0.250 (multiplicity 2)

Calculated values
Total magnetic moment   0.249 μB/atom
Crystal system   orthorhombic
DOS(E_F)   5.44 states/eV/cell
Energy relative to the lowest polymorph listed for this composition   0.49 eV/f.u.



The following is a DFT calculation (PBE) of a relaxed YCd2Tc crystal.

Cell: 3.528 3.539 6.918 Å, 90.00 90.00 90.00°
Space group Pmm2 (No. 25)
One atom of each set of equivalent atoms:
Y 0.000 0.000 0.000 (multiplicity 1)
Cd 0.000 0.000 0.442 (multiplicity 1)
Cd 0.500 0.500 0.683 (multiplicity 1)
Tc 0.500 0.500 0.227 (multiplicity 1)

Calculated values
Total magnetic moment   0.052 μB/atom
Crystal system   orthorhombic
DOS(E_F)   5.08 states/eV/cell
Energy relative to the lowest polymorph listed for this composition   0.45 eV/f.u.



The following is a DFT calculation (PBE) of a relaxed YCd2Tc crystal.

Cell: 6.947 6.947 6.947 Å, 90.00 90.00 90.00°
Space group F-43m (No. 216)
One atom of each set of equivalent atoms:
Y 0.000 0.000 0.000 (multiplicity 4)
Cd 0.000 0.000 0.500 (multiplicity 4)
Cd 0.250 0.250 0.750 (multiplicity 4)
Tc 0.250 0.250 0.250 (multiplicity 4)

Calculated values
Total magnetic moment   0.000 μB/atom
Crystal system   cubic
DOS(E_F)   9.72 states/eV/cell
Energy relative to the lowest polymorph listed for this composition   0.78 eV/f.u.



The following is a DFT calculation (PBE) of a relaxed YCd2Tc crystal.

Cell: 3.051 4.837 5.658 Å, 90.00 94.26 90.00°
Space group Pm (No. 6)
One atom of each set of equivalent atoms:
Y 0.000 0.000 0.000 (multiplicity 1)
Cd 0.541 0.000 0.518 (multiplicity 1)
Cd 0.557 0.500 0.249 (multiplicity 1)
Tc 0.193 0.500 0.738 (multiplicity 1)

Calculated values
Total magnetic moment   0.000 μB/atom
Crystal system   monoclinic
DOS(E_F)   3.56 states/eV/cell
Energy relative to the lowest polymorph listed for this composition   0.74 eV/f.u.



The following is a DFT calculation (PBE) of a relaxed YCdTc2 crystal.

Cell: 10.620 3.438 4.812 Å, 90.00 116.84 90.00°
Space group Cm (No. 8)
One atom of each set of equivalent atoms:
Y 0.000 0.000 0.000 (multiplicity 2)
Cd 0.281 0.500 0.281 (multiplicity 2)
Tc 0.042 0.500 0.542 (multiplicity 2)
Tc 0.228 0.000 0.728 (multiplicity 2)

Calculated values
Total magnetic moment   0.000 μB/atom
Crystal system   monoclinic
Total DFT energy (no corrections)   -6.85 eV/atom
DOS(E_F)   6.50 states/eV/cell



The following is a DFT calculation (PBE) of a relaxed YCdTc2 crystal.

Cell: 3.200 4.233 5.988 Å, 90.00 102.85 90.00°
Space group Pm (No. 6)
One atom of each set of equivalent atoms:
Y 0.000 0.000 0.000 (multiplicity 1)
Cd 0.629 0.500 0.304 (multiplicity 1)
Tc 0.210 0.000 0.550 (multiplicity 1)
Tc 0.420 0.500 0.738 (multiplicity 1)

Calculated values
Total magnetic moment   0.000 μB/atom
Crystal system   monoclinic
Total DFT energy (no corrections)   -6.85 eV/atom
DOS(E_F)   2.74 states/eV/cell



The following is a DFT calculation (PBE) of a relaxed Y5Cd2Tc2 crystal.

Cell: 17.062 7.344 7.490 Å, 90.00 90.00 90.00°
Space group Cmce (No. 64)
One atom of each set of equivalent atoms:
Y 0.000 0.000 0.000 (multiplicity 4)
Y 0.123 0.183 0.317 (multiplicity 16)
Cd 0.226 0.000 0.000 (multiplicity 8)
Tc 0.000 0.108 0.617 (multiplicity 8)

Calculated values
Total magnetic moment   0.000 μB/atom
Crystal system   orthorhombic
Total DFT energy (no corrections)   -6.23 eV/atom
DOS(E_F)   45.36 states/eV/cell



The following is a DFT calculation (PBE) of a relaxed YCd2Tc crystal.

Cell: 3.281 3.281 7.920 Å, 90.00 90.00 90.00°
Space group P4/mmm (No. 123)
One atom of each set of equivalent atoms:
Y 0.000 0.000 0.000 (multiplicity 1)
Cd 0.500 0.500 0.284 (multiplicity 2)
Tc 0.000 0.000 0.500 (multiplicity 1)

Calculated values
Total magnetic moment   0.361 μB/atom
Crystal system   tetragonal
DOS(E_F)   2.67 states/eV/cell
Energy relative to the lowest polymorph listed for this composition   0.84 eV/f.u.



The following is a DFT calculation (PBE) of a relaxed YCdTc3 crystal.

Cell: 4.857 4.857 4.857 Å, 90.00 90.00 90.00°
Space group Pm-3m (No. 221)
One atom of each set of equivalent atoms:
Y 0.000 0.000 0.000 (multiplicity 1)
Cd 0.500 0.500 0.500 (multiplicity 1)
Tc 0.000 0.000 0.500 (multiplicity 3)

Calculated values
Total magnetic moment   0.696 μB/atom
Crystal system   cubic
DOS(E_F)   6.74 states/eV/cell
Energy relative to the lowest polymorph listed for this composition   1.47 eV/f.u.



The following is a DFT calculation (PBE) of a relaxed YCd2Tc crystal.

Cell: 6.933 6.933 6.933 Å, 90.00 90.00 90.00°
Space group Fm-3m (No. 225)
One atom of each set of equivalent atoms:
Y 0.000 0.000 0.000 (multiplicity 4)
Cd 0.250 0.250 0.250 (multiplicity 8)
Tc 0.000 0.000 0.500 (multiplicity 4)

Calculated values
Total magnetic moment   0.000 μB/atom
Crystal system   cubic
DOS(E_F)   23.14 states/eV/cell
Energy relative to the lowest polymorph listed for this composition   0.67 eV/f.u.



The following is a DFT calculation (PBE) of a relaxed YCd2Tc crystal.

Cell: 5.782 8.849 3.254 Å, 90.00 90.00 90.00°
Space group Cmmm (No. 65)
One atom of each set of equivalent atoms:
Y 0.000 0.000 0.000 (multiplicity 2)
Cd 0.250 0.250 0.500 (multiplicity 4)
Tc 0.000 0.500 0.000 (multiplicity 2)

Calculated values
Total magnetic moment   0.189 μB/atom
Crystal system   orthorhombic
DOS(E_F)   5.47 states/eV/cell
Energy relative to the lowest polymorph listed for this composition   0.71 eV/f.u.



The following is a DFT calculation (PBE) of a relaxed Y2CdTc2 crystal.

Cell: 7.125 7.125 4.405 Å, 90.00 90.00 90.00°
Space group P4/mbm (No. 127)
One atom of each set of equivalent atoms:
Y 0.178 0.322 0.000 (multiplicity 4)
Cd 0.000 0.000 0.500 (multiplicity 2)
Tc 0.114 0.614 0.500 (multiplicity 4)

Calculated values
Total magnetic moment   0.163 μB/atom
Crystal system   tetragonal
Total DFT energy (no corrections)   -6.94 eV/atom
DOS(E_F)   9.28 states/eV/cell



The following is a DFT calculation (PBE) of a relaxed YCdTc2 crystal.

Cell: 4.074 4.114 4.441 Å, 90.00 90.00 90.00°
Space group Pmmm (No. 47)
One atom of each set of equivalent atoms:
Y 0.000 0.000 0.000 (multiplicity 1)
Cd 0.500 0.500 0.000 (multiplicity 1)
Tc 0.000 0.500 0.500 (multiplicity 1)
Tc 0.500 0.000 0.500 (multiplicity 1)

Calculated values
Total magnetic moment   0.000 μB/atom
Crystal system   orthorhombic
Total DFT energy (no corrections)   -6.68 eV/atom
DOS(E_F)   4.29 states/eV/cell



The following is a DFT calculation (PBE) of a relaxed YCdTc2 crystal.

Cell: 3.580 4.558 9.264 Å, 90.00 90.00 90.00°
Space group Immm (No. 71)
One atom of each set of equivalent atoms:
Y 0.000 0.000 0.000 (multiplicity 2)
Cd 0.000 0.000 0.500 (multiplicity 2)
Tc 0.000 0.500 0.250 (multiplicity 4)

Calculated values
Total magnetic moment   0.000 μB/atom
Crystal system   orthorhombic
Total DFT energy (no corrections)   -6.58 eV/atom
DOS(E_F)   8.81 states/eV/cell



The following is a DFT calculation (PBE) of a relaxed YCd2Tc crystal.

Cell: 4.135 4.135 21.306 Å, 90.00 90.00 90.00°
Space group I-42d (No. 122)
One atom of each set of equivalent atoms:
Y 0.000 0.000 0.000 (multiplicity 4)
Cd 0.221 0.250 0.625 (multiplicity 8)
Tc 0.000 0.000 0.500 (multiplicity 4)

Calculated values
Total magnetic moment   0.000 μB/atom
Crystal system   tetragonal
DOS(E_F)   8.33 states/eV/cell
Energy relative to the lowest polymorph listed for this composition   1.49 eV/f.u.



The following is a DFT calculation (PBE) of a relaxed Y3CdTc crystal.

Cell: 5.351 5.351 5.351 Å, 90.00 90.00 90.00°
Space group Pm-3m (No. 221)
One atom of each set of equivalent atoms:
Y 0.000 0.000 0.500 (multiplicity 3)
Cd 0.500 0.500 0.500 (multiplicity 1)
Tc 0.000 0.000 0.000 (multiplicity 1)

Calculated values
Total magnetic moment   0.000 μB/atom
Crystal system   cubic
DOS(E_F)   5.61 states/eV/cell
Energy relative to the lowest polymorph listed for this composition   0.00 eV/f.u.



The following is a DFT calculation (PBE) of a relaxed YCdTc2 crystal.

Cell: 3.0374 3.0374 28.4341 Å, 90.00 90.00 120.00°
Space group R-3m (No. 166, hexagonal axes)
One atom of each set of equivalent atoms:
Y 0.0000 0.0000 0.0000 (multiplicity 3)
Cd 0.0000 0.0000 0.5000 (multiplicity 3)
Tc 0.0000 0.0000 0.2484 (multiplicity 6)

Calculated values
Total magnetic moment   0.200 μB/atom
Crystal system   trigonal
Total DFT energy (no corrections)   -6.38 eV/atom
DOS(E_F)   17.65 states/eV/cell



The following is a DFT calculation (PBE) of a relaxed YCdTc2 crystal.

Cell: 3.142 3.142 7.844 Å, 90.00 90.00 90.00°
Space group P4mm (No. 99)
One atom of each set of equivalent atoms:
Y 0.000 0.000 0.000 (multiplicity 1)
Cd 0.500 0.500 0.313 (multiplicity 1)
Tc 0.000 0.000 0.565 (multiplicity 1)
Tc 0.500 0.500 0.732 (multiplicity 1)

Calculated values
Total magnetic moment   0.000 μB/atom
Crystal system   tetragonal
Total DFT energy (no corrections)   -7.02 eV/atom
DOS(E_F)   3.50 states/eV/cell



The following is a DFT calculation (PBE) of a relaxed YCdTc2 crystal.

Cell: 5.821 9.503 2.867 Å, 90.00 111.51 90.00°
Space group C2/m (No. 12)
One atom of each set of equivalent atoms:
Y 0.000 0.000 0.000 (multiplicity 2)
Cd 0.000 0.500 0.000 (multiplicity 2)
Tc 0.250 0.250 0.500 (multiplicity 4)

Calculated values
Total magnetic moment   0.000 μB/atom
Crystal system   monoclinic
Total DFT energy (no corrections)   -6.61 eV/atom
DOS(E_F)   7.50 states/eV/cell



The following is a DFT calculation (PBE) of a relaxed YCdTc2 crystal.

Cell: 3.120 4.825 5.343 Å, 90.00 95.46 90.00°
Space group P2/m (No. 10)
One atom of each set of equivalent atoms:
Y 0.000 0.000 0.000 (multiplicity 1)
Cd 0.500 0.000 0.500 (multiplicity 1)
Tc 0.354 0.500 0.792 (multiplicity 2)

Calculated values
Total magnetic moment   0.000 μB/atom
Crystal system   monoclinic
Total DFT energy (no corrections)   -6.64 eV/atom
DOS(E_F)   3.59 states/eV/cell



The following is a DFT calculation (PBE) of a relaxed YCdTc2 crystal.

Cell: 3.388 4.672 9.323 Å, 90.00 90.00 90.00°
Space group Cmmm (No. 65)
One atom of each set of equivalent atoms:
Y 0.000 0.000 0.000 (multiplicity 2)
Cd 0.000 0.000 0.500 (multiplicity 2)
Tc 0.000 0.500 0.254 (multiplicity 4)

Calculated values
Total magnetic moment   0.000 μB/atom
Crystal system   orthorhombic
Total DFT energy (no corrections)   -6.51 eV/atom
DOS(E_F)   10.31 states/eV/cell



The following is a DFT calculation (PBE) of a relaxed YCd2Tc crystal.

Cell: 3.3217 3.3217 28.1398 Å, 90.00 90.00 120.00°
Space group R3m (No. 160, hexagonal axes)
One atom of each set of equivalent atoms:
Y 0.0000 0.0000 0.0000 (multiplicity 3)
Cd 0.0000 0.0000 0.5191 (multiplicity 3)
Cd 0.0000 0.0000 0.7637 (multiplicity 3)
Tc 0.0000 0.0000 0.2609 (multiplicity 3)

Calculated values
Total magnetic moment   0.046 μB/atom
Crystal system   trigonal
DOS(E_F)   11.97 states/eV/cell
Energy relative to the lowest polymorph listed for this composition   0.98 eV/f.u.



The following is a DFT calculation (PBE) of a relaxed YCdTc4 crystal.

Cell: 7.532 7.532 7.532 Å, 90.00 90.00 90.00°
Space group F-43m (No. 216)
One atom of each set of equivalent atoms:
Y 0.000 0.000 0.000 (multiplicity 4)
Cd 0.250 0.250 0.750 (multiplicity 4)
Tc 0.124 0.124 0.376 (multiplicity 16)

Calculated values
Total magnetic moment   0.000 μB/atom
Crystal system   cubic
Total DFT energy (no corrections)   -8.05 eV/atom
DOS(E_F)   23.53 states/eV/cell



The following is a DFT calculation (PBE) of a relaxed YCd2Tc crystal.

Cell: 4.186 4.186 4.715 Å, 90.00 90.00 90.00°
Space group P4/mmm (No. 123)
One atom of each set of equivalent atoms:
Y 0.000 0.000 0.000 (multiplicity 1)
Cd 0.000 0.500 0.500 (multiplicity 2)
Tc 0.500 0.500 0.000 (multiplicity 1)

Calculated values
Total magnetic moment   0.037 μB/atom
Crystal system   tetragonal
DOS(E_F)   3.16 states/eV/cell
Energy relative to the lowest polymorph listed for this composition   0.23 eV/f.u.



The following is a DFT calculation (PBE) of a relaxed YCd2Tc crystal.

Cell: 3.0458 3.0458 31.0553 Å, 90.00 90.00 120.00°
Space group R-3m (No. 166, hexagonal axes)
One atom of each set of equivalent atoms:
Y 0.0000 0.0000 0.0000 (multiplicity 3)
Cd 0.0000 0.0000 0.2417 (multiplicity 6)
Tc 0.0000 0.0000 0.5000 (multiplicity 3)

Calculated values
Total magnetic moment   0.014 μB/atom
Crystal system   trigonal
DOS(E_F)   11.23 states/eV/cell
Energy relative to the lowest polymorph listed for this composition   1.39 eV/f.u.